1.
First-principles (SCAN) data for a PBEsol-optimized structure of Zr3PtAu, as listed in Alexandria.

Properties
- formation energy (eV per atom) = 0.0124
- V (A^3/atom) = 24.897
- total magnetization (μB/atom) = 0.00
- calculated total energy (eV/f.u.) = -231.38

Geometry as POSCAR:
```
Zr3PtAu
1.0
-4.989 0.058 0.200
-0.143 -4.435 -2.289
0.152 -2.293 4.433
Zr Au Pt
3 1 1
Direct
0.000 0.000 0.500
0.000 0.500 0.000
0.500 0.000 0.000
0.500 0.500 0.500
0.000 0.000 0.000
```

=====

2.
First-principles (SCAN) data for a PBEsol-optimized structure of ZrPt2Au, as listed in Alexandria.

Properties
- formation energy (eV per atom) = -0.9611
- V (A^3/atom) = 16.478
- total magnetization (μB/atom) = 0.00
- calculated total energy (eV/f.u.) = -244.09

Geometry as POSCAR:
```
ZrPt2Au
1.0
-2.602 -2.557 1.503
1.270 -2.767 -2.510
3.543 1.405 3.345
Pt Zr Au
2 1 1
Direct
0.500 0.500 0.000
0.750 0.250 0.500
0.000 0.000 0.000
0.250 0.750 0.500
```

=====

3.
First-principles (SCAN) data for a PBEsol-optimized structure of ZrPtAu, as listed in Alexandria.

Properties
- formation energy (eV per atom) = -1.1018
- V (A^3/atom) = 17.586
- total magnetization (μB/atom) = 0.00
- calculated total energy (eV/f.u.) = -173.35

Geometry as POSCAR:
```
ZrPtAu
1.0
3.495 0.000 0.000
0.000 3.495 0.000
-1.748 -1.748 4.319
Zr Pt Au
1 1 1
Direct
0.673 0.673 0.345
0.327 0.327 0.655
0.000 0.000 0.000
```

=====

4.
First-principles (SCAN) data for a PBEsol-optimized structure of Zr2Pt2Au, as listed in Alexandria.

Properties
- formation energy (eV per atom) = -1.1401
- V (A^3/atom) = 18.357
- total magnetization (μB/atom) = 0.00
- calculated total energy (eV/f.u.) = -276.64

Geometry as POSCAR:
```
Zr2Pt2Au
1.0
3.337 0.000 0.000
0.000 7.417 0.000
0.000 0.000 7.417
Pt Zr Au
4 4 2
Direct
0.000 0.370 0.870
0.000 0.630 0.130
0.000 0.130 0.370
0.000 0.870 0.630
0.500 0.672 0.828
0.500 0.328 0.172
0.500 0.828 0.328
0.500 0.172 0.672
0.000 0.500 0.500
0.000 0.000 0.000
```

=====

5.
First-principles (SCAN) data for a PBEsol-optimized structure of ZrPtAu, as listed in Alexandria.

Properties
- formation energy (eV per atom) = -0.6120
- V (A^3/atom) = 20.921
- total magnetization (μB/atom) = 0.00
- calculated total energy (eV/f.u.) = -171.88

Geometry as POSCAR:
```
ZrPtAu
1.0
4.461 0.000 0.000
2.230 3.863 0.000
2.230 1.288 3.642
Au Pt Zr
1 1 1
Direct
0.000 0.000 0.000
0.500 0.500 0.500
0.250 0.250 0.250
```

=====

6.
First-principles (SCAN) data for a PBEsol-optimized structure of ZrPt2Au, as listed in Alexandria.

Properties
- formation energy (eV per atom) = -0.9971
- V (A^3/atom) = 16.481
- total magnetization (μB/atom) = 0.00
- calculated total energy (eV/f.u.) = -244.23

Geometry as POSCAR:
```
ZrPt2Au
1.0
4.043 0.000 0.000
0.000 4.043 0.000
-2.021 -2.021 4.034
Au Zr Pt
1 1 2
Direct
0.500 0.500 0.000
0.000 0.000 0.000
0.250 0.750 0.500
0.750 0.250 0.500
```

=====

7.
First-principles (SCAN) data for a PBEsol-optimized structure of RbAu5, as listed in Alexandria.

Properties
- formation energy (eV per atom) = -0.2461
- V (A^3/atom) = 21.182
- total magnetization (μB/atom) = 0.00
- calculated total energy (eV/f.u.) = -368.00

Geometry as POSCAR:
```
RbAu5
1.0
-3.918 2.091 -0.095
-2.708 -5.069 0.118
1.308 2.674 4.917
Au Rb
5 1
Direct
0.500 0.500 0.500
0.500 0.500 0.000
0.000 0.667 0.333
0.000 0.333 0.667
0.500 0.000 0.500
0.000 0.000 0.000
```

=====

8.
First-principles (SCAN) data for a PBEsol-optimized structure of RbAuS, as listed in Alexandria.

Properties
- V (A^3/atom) = 28.994
- total magnetization (μB/atom) = 0.00
- energy relative to the elements, uncorrected (meV/atom) = -910
- calculated total energy (eV/f.u.) = -102.25

Geometry as POSCAR:
```
RbAuS
1.0
5.214 -0.054 0.000
-1.038 5.110 0.000
0.000 0.000 6.543
S Rb Au
2 2 2
Direct
0.200 0.800 0.250
0.800 0.200 0.750
0.627 0.373 0.250
0.373 0.627 0.750
0.000 0.000 0.500
0.000 0.000 0.000
```

=====

9.
First-principles (SCAN) data for a PBEsol-optimized structure of Rb4Au6S5, as listed in Alexandria.

Properties
- V (A^3/atom) = 27.592
- total magnetization (μB/atom) = 0.00
- energy relative to the elements, uncorrected (meV/atom) = -776
- calculated total energy (eV/f.u.) = -557.68

Geometry as POSCAR:
```
Rb4Au6S5
1.0
-6.356 2.104 -7.238
-3.226 -0.975 9.266
1.453 9.606 1.516
Au Rb S
12 8 10
Direct
0.452 0.287 0.912
0.713 0.165 0.912
0.287 0.452 0.088
0.165 0.713 0.088
0.835 0.548 0.588
0.287 0.452 0.412
0.548 0.835 0.088
0.165 0.713 0.412
0.713 0.165 0.588
0.835 0.548 0.912
0.452 0.287 0.588
0.548 0.835 0.412
0.000 0.000 0.000
0.581 0.650 0.750
0.070 0.419 0.750
0.419 0.070 0.250
0.350 0.930 0.750
0.000 0.000 0.500
0.650 0.581 0.250
0.930 0.350 0.250
0.231 0.263 0.250
0.667 0.333 0.042
0.333 0.667 0.958
0.769 0.032 0.750
0.968 0.737 0.750
0.032 0.769 0.250
0.737 0.968 0.250
0.333 0.667 0.542
0.263 0.231 0.750
0.667 0.333 0.458
```

=====

10.
First-principles (SCAN) data for a PBEsol-optimized structure of RbSb2Au3S5, as listed in Alexandria.

Properties
- V (A^3/atom) = 25.439
- total magnetization (μB/atom) = 0.00
- energy relative to the elements, uncorrected (meV/atom) = -451
- calculated total energy (eV/f.u.) = -355.84

Geometry as POSCAR:
```
RbSb2Au3S5
1.0
6.998 0.000 0.000
0.000 12.418 0.000
0.000 0.000 25.761
Sb S Rb Au
16 40 8 24
Direct
0.000 0.425 0.158
0.500 0.075 0.658
0.000 0.686 0.604
0.000 0.575 0.842
0.000 0.314 0.396
0.500 0.553 0.618
0.500 0.469 0.874
0.000 0.031 0.374
0.500 0.447 0.382
0.500 0.925 0.342
0.000 0.969 0.626
0.500 0.814 0.104
0.000 0.053 0.882
0.500 0.531 0.126
0.500 0.186 0.896
0.000 0.947 0.118
0.248 0.904 0.409
0.500 0.343 0.954
0.500 0.868 0.638
0.000 0.262 0.265
0.500 0.238 0.765
0.000 0.632 0.138
0.000 0.557 0.316
0.500 0.057 0.184
0.248 0.096 0.591
0.750 0.406 0.448
0.000 0.843 0.546
0.250 0.406 0.448
0.000 0.368 0.862
0.500 0.762 0.235
0.000 0.157 0.454
0.500 0.638 0.403
0.252 0.404 0.091
0.750 0.094 0.948
0.500 0.132 0.362
0.748 0.404 0.091
0.000 0.862 0.903
0.752 0.096 0.591
0.748 0.596 0.909
0.750 0.594 0.552
0.000 0.085 0.722
0.252 0.596 0.909
0.000 0.738 0.735
0.500 0.943 0.816
0.250 0.594 0.552
0.000 0.915 0.278
0.500 0.415 0.222
0.752 0.904 0.409
0.750 0.906 0.052
0.250 0.094 0.948
0.250 0.906 0.052
0.000 0.138 0.097
0.500 0.657 0.046
0.000 0.443 0.684
0.500 0.585 0.778
0.500 0.362 0.597
0.000 0.660 0.434
0.500 0.820 0.514
0.000 0.340 0.566
0.500 0.840 0.934
0.000 0.680 0.014
0.000 0.320 0.986
0.500 0.180 0.486
0.500 0.160 0.066
0.500 0.232 0.214
0.248 0.990 0.231
0.744 0.186 0.308
0.248 0.010 0.769
0.252 0.510 0.731
0.244 0.314 0.808
0.752 0.990 0.231
0.500 0.307 0.682
0.744 0.814 0.692
0.752 0.010 0.769
0.000 0.732 0.286
0.756 0.314 0.808
0.244 0.686 0.192
0.252 0.490 0.269
0.000 0.807 0.818
0.756 0.686 0.192
0.256 0.814 0.692
0.000 0.268 0.714
0.748 0.510 0.731
0.748 0.490 0.269
0.256 0.186 0.308
0.500 0.693 0.318
0.500 0.768 0.786
0.000 0.193 0.182
```

=====

11.
First-principles (SCAN) data for a PBEsol-optimized structure of RbSbAu2, as listed in Alexandria.

Properties
- V (A^3/atom) = 35.267
- total magnetization (μB/atom) = 0.00
- energy relative to the elements, uncorrected (meV/atom) = -384
- calculated total energy (eV/f.u.) = -197.85

Geometry as POSCAR:
```
RbSbAu2
1.0
5.692 0.000 0.000
0.000 5.692 0.000
-2.846 -2.846 8.710
Sb Rb Au
2 2 4
Direct
0.000 0.000 0.000
0.250 0.750 0.500
0.750 0.250 0.500
0.500 0.500 0.000
0.125 0.873 0.750
0.127 0.375 0.250
0.625 0.877 0.750
0.123 0.875 0.250
```

=====

12.
First-principles (SCAN) data for a PBEsol-optimized structure of Rb3Sb2Au3, as listed in Alexandria.

Properties
- V (A^3/atom) = 31.828
- total magnetization (μB/atom) = 0.00
- energy relative to the elements, uncorrected (meV/atom) = -577
- calculated total energy (eV/f.u.) = -348.82

Geometry as POSCAR:
```
Rb3Sb2Au3
1.0
-1.206 5.260 -3.370
-6.002 1.560 -1.423
-2.864 6.108 4.553
Sb Au Rb
2 3 3
Direct
0.755 0.755 0.735
0.245 0.245 0.265
0.000 0.500 0.000
0.500 0.000 0.000
0.500 0.500 0.000
0.500 0.500 0.500
0.081 0.081 0.757
0.919 0.919 0.243
```

=====

13.
First-principles (SCAN) data for a PBEsol-optimized structure of RbScAu3, as listed in Alexandria.

Properties
- formation energy (eV per atom) = 1.1538
- V (A^3/atom) = 31.822
- total magnetization (μB/atom) = 0.16
- calculated total energy (eV/f.u.) = -236.68

Geometry as POSCAR:
```
RbScAu3
1.0
5.419 0.000 0.000
0.000 5.419 0.000
0.000 0.000 5.419
Rb Au Sc
1 3 1
Direct
0.000 0.000 0.000
0.500 0.000 0.000
0.000 0.000 0.500
0.000 0.500 0.000
0.500 0.500 0.500
```

=====

14.
First-principles (SCAN) data for a PBEsol-optimized structure of RbAu3Se2, as listed in Alexandria.

Properties
- V (A^3/atom) = 27.699
- total magnetization (μB/atom) = 0.00
- energy relative to the elements, uncorrected (meV/atom) = -517
- calculated total energy (eV/f.u.) = -271.47

Geometry as POSCAR:
```
RbAu3Se2
1.0
-5.248 0.856 0.434
-1.075 -5.012 -3.113
0.458 -0.222 5.976
Rb Au Se
1 3 2
Direct
0.500 0.000 0.000
0.000 0.500 0.000
0.000 0.000 0.500
0.000 0.500 0.500
0.327 0.667 0.333
0.673 0.333 0.667
```

=====

15.
First-principles (SCAN) data for a PBEsol-optimized structure of Rb2AuSe2, as listed in Alexandria.

Properties
- V (A^3/atom) = 44.591
- total magnetization (μB/atom) = 0.20
- energy relative to the elements, uncorrected (meV/atom) = -773
- calculated total energy (eV/f.u.) = -154.66

Geometry as POSCAR:
```
Rb2AuSe2
1.0
6.755 0.000 0.000
-3.377 5.939 0.114
0.000 3.733 5.630
Rb Au Se
2 1 2
Direct
0.750 0.500 0.750
0.250 0.500 0.250
0.000 0.000 0.000
0.759 0.517 0.241
0.241 0.483 0.759
```

=====

16.
First-principles (SCAN) data for a PBEsol-optimized structure of RbSiAu2, as listed in Alexandria.

Properties
- V (A^3/atom) = 29.437
- total magnetization (μB/atom) = 0.00
- energy relative to the elements, uncorrected (meV/atom) = -300
- calculated total energy (eV/f.u.) = -170.27

Geometry as POSCAR:
```
RbSiAu2
1.0
5.477 0.000 0.000
0.000 5.477 0.000
-2.739 -2.739 7.850
Au Rb Si
4 2 2
Direct
0.625 0.375 0.250
0.625 0.875 0.250
0.625 0.375 0.750
0.125 0.375 0.750
0.000 0.000 0.000
0.250 0.750 0.500
0.750 0.250 0.500
0.500 0.500 0.000
```

=====

17.
First-principles (SCAN) data for a PBEsol-optimized structure of RbSi2Au, as listed in Alexandria.

Properties
- V (A^3/atom) = 26.456
- total magnetization (μB/atom) = 0.00
- energy relative to the elements, uncorrected (meV/atom) = 105
- calculated total energy (eV/f.u.) = -109.51

Geometry as POSCAR:
```
RbSi2Au
1.0
-3.834 -1.062 -2.988
-2.951 -0.521 3.972
1.398 9.096 -0.883
Si Au Rb
4 2 2
Direct
0.125 0.875 0.750
0.125 0.875 0.250
0.125 0.375 0.250
0.625 0.875 0.750
0.250 0.750 0.500
0.000 0.000 0.000
0.500 0.500 0.000
0.750 0.250 0.500
```

=====

18.
First-principles (SCAN) data for a PBEsol-optimized structure of Rb3Sn4Au, as listed in Alexandria.

Properties
- formation energy (eV per atom) = -0.4169
- V (A^3/atom) = 37.544
- total magnetization (μB/atom) = 0.00
- calculated total energy (eV/f.u.) = -278.39

Geometry as POSCAR:
```
Rb3Sn4Au
1.0
6.551 0.000 0.000
0.000 7.015 0.000
0.000 0.000 13.070
Sn Rb Au
8 6 2
Direct
0.962 0.776 0.500
0.334 0.500 0.882
0.962 0.224 0.500
0.038 0.276 0.000
0.666 0.000 0.382
0.334 0.500 0.118
0.038 0.724 0.000
0.666 0.000 0.618
0.830 0.500 0.744
0.447 0.500 0.500
0.170 0.000 0.244
0.553 0.000 0.000
0.830 0.500 0.256
0.170 0.000 0.756
0.313 0.000 0.500
0.687 0.500 0.000
```

=====

19.
First-principles (SCAN) data for a PBEsol-optimized structure of RbTlSnAu2, as listed in Alexandria.

Properties
- formation energy (eV per atom) = 0.5245
- V (A^3/atom) = 32.723
- total magnetization (μB/atom) = 0.00
- calculated total energy (eV/f.u.) = -264.71

Geometry as POSCAR:
```
RbTlSnAu2
1.0
-1.412 -4.286 2.669
5.040 -1.031 1.010
-0.342 3.222 4.993
Au Sn Rb Tl
2 1 1 1
Direct
0.000 0.500 0.000
0.500 0.000 0.000
0.500 0.500 0.500
0.000 0.000 0.500
0.000 0.000 0.000
```

=====

20.
First-principles (SCAN) data for a PBEsol-optimized structure of RbTaAu2, as listed in Alexandria.

Properties
- formation energy (eV per atom) = 0.8910
- V (A^3/atom) = 21.501
- total magnetization (μB/atom) = 0.51
- calculated total energy (eV/f.u.) = -222.07

Geometry as POSCAR:
```
RbTaAu2
1.0
4.955 0.000 0.000
2.477 4.291 0.000
2.477 1.430 4.045
Ta Rb Au
1 1 2
Direct
0.500 0.500 0.500
0.000 0.000 0.000
0.250 0.250 0.250
0.750 0.750 0.750
```

=====

21.
First-principles (SCAN) data for a PBEsol-optimized structure of RbTaW2Au, as listed in Alexandria.

Properties
- formation energy (eV per atom) = 1.8575
- V (A^3/atom) = 25.204
- total magnetization (μB/atom) = 0.50
- calculated total energy (eV/f.u.) = -286.57

Geometry as POSCAR:
```
RbTaW2Au
1.0
-1.449 1.841 -4.245
-4.046 -2.662 0.226
-2.482 3.991 2.578
W Au Rb Ta
2 1 1 1
Direct
0.500 0.000 0.000
0.000 0.500 0.000
0.000 0.000 0.500
0.500 0.500 0.500
0.000 0.000 0.000
```